SrSeI, relaxed, DFT PBE-GGA; E above lowest polymorph = 0.0000 eV per atom; spin magnetization = 0.00 μB per formula unit; space group = Cmce; calculated total energy = -3.68 eV per atom
1.0
-6.401 0.250 -5.260
7.413 -1.348 -2.556
-1.138 -8.149 0.997
Sr I Se
4 4 4
direct
0.749 0.999 0.750 Sr
0.751 0.001 0.250 Sr
0.251 0.001 0.250 Sr
0.249 0.999 0.750 Sr
0.357 0.714 0.999 I
0.857 0.714 0.501 I
0.143 0.286 0.499 I
0.643 0.286 0.001 I
0.091 0.182 0.999 Se
0.591 0.182 0.501 Se
0.909 0.818 0.001 Se
0.409 0.818 0.499 Se

HfAl2HAu, relaxed, DFT PBE-GGA; spin magnetization = 0.00 μB per formula unit; space group = P4/mmm; calculated total energy = -5.08 eV per atom
1.0
-0.917 -3.821 -1.580
4.054 -0.512 -1.114
0.766 -1.650 3.544
Au Hf Al H
1 1 2 1
direct
0.500 0.500 0.500 Au
0.000 0.000 0.500 Hf
0.500 0.000 0.000 Al
0.000 0.500 0.000 Al
0.000 0.000 0.000 H

AcBiIrPd, relaxed, DFT PBE-GGA; spin magnetization = 0.00 μB per formula unit; space group = F-43m; calculated total energy = -5.82 eV per atom; DFT formation energy = -0.3100 eV/atom
1.0
5.116 0.000 0.000
2.558 4.431 0.000
2.558 1.477 4.177
Pd Bi Ac Ir
1 1 1 1
direct
0.500 0.500 0.500 Pd
0.250 0.250 0.250 Bi
0.750 0.750 0.750 Ac
0.000 0.000 0.000 Ir

ZnSiTe3, relaxed, DFT PBE-GGA; E above lowest polymorph = 0.5817 eV per atom; spin magnetization = 0.00 μB per formula unit; space group = Pm-3m; calculated total energy = -2.75 eV per atom
1.0
-0.615 3.772 3.652
-1.277 -3.674 3.580
5.093 -0.466 1.338
Te Zn Si
3 1 1
direct
0.000 0.000 0.500 Te
0.000 0.500 0.000 Te
0.500 0.000 0.000 Te
0.500 0.500 0.500 Zn
0.000 0.000 0.000 Si

Na5B7C3, relaxed, DFT PBE-GGA; E above lowest polymorph = 0.0350 eV per atom; spin magnetization = 0.43 μB per formula unit; space group = Cmcm; calculated total energy = -5.25 eV per atom; DFT formation energy = 0.1479 eV/atom
1.0
7.505 0.122 0.000
-5.821 4.738 0.000
0.000 0.000 8.595
Na B C
10 14 6
direct
0.199 0.801 0.000 Na
0.400 0.600 0.500 Na
0.800 0.200 0.000 Na
0.601 0.399 0.500 Na
0.000 0.000 0.000 Na
0.800 0.200 0.500 Na
0.000 0.000 0.500 Na
0.199 0.801 0.500 Na
0.601 0.399 0.000 Na
0.400 0.600 0.000 Na
0.849 0.456 0.750 B
0.651 0.654 0.250 B
0.680 0.679 0.750 B
0.149 0.546 0.750 B
0.346 0.349 0.750 B
0.256 0.049 0.750 B
0.544 0.151 0.250 B
0.479 0.880 0.750 B
0.951 0.744 0.250 B
0.120 0.521 0.250 B
0.037 0.237 0.750 B
0.763 0.963 0.250 B
0.454 0.851 0.250 B
0.321 0.320 0.250 B
0.262 0.060 0.250 C
0.860 0.462 0.250 C
0.538 0.140 0.750 C
0.940 0.738 0.750 C
0.060 0.260 0.250 C
0.740 0.940 0.750 C

K4In2Si8O21, relaxed, DFT PBE-GGA; spin magnetization = 0.00 μB per formula unit; space group = P2_1/c; calculated total energy = -7.02 eV per atom
1.0
-0.312 -6.503 5.566
-3.065 -6.526 -7.861
11.161 -2.491 -2.284
K O Si In
8 42 16 4
direct
0.988 0.793 0.356 K
0.506 0.692 0.467 K
0.488 0.293 0.144 K
0.512 0.707 0.856 K
0.494 0.308 0.533 K
0.006 0.192 0.033 K
0.012 0.207 0.644 K
0.994 0.808 0.967 K
0.294 0.361 0.707 O
0.000 0.500 0.000 O
0.252 0.147 0.817 O
0.209 0.948 0.564 O
0.248 0.353 0.317 O
0.265 0.144 0.437 O
0.010 0.778 0.639 O
0.291 0.552 0.064 O
0.206 0.139 0.207 O
0.709 0.448 0.936 O
0.765 0.644 0.063 O
0.735 0.856 0.563 O
0.184 0.908 0.787 O
0.748 0.853 0.183 O
0.706 0.639 0.293 O
0.791 0.052 0.436 O
0.316 0.592 0.287 O
0.752 0.647 0.683 O
0.308 0.723 0.651 O
0.692 0.277 0.349 O
0.490 0.722 0.139 O
0.707 0.090 0.654 O
0.279 0.507 0.496 O
0.794 0.861 0.793 O
0.192 0.777 0.151 O
0.779 0.007 0.004 O
0.527 0.033 0.149 O
0.473 0.967 0.851 O
0.027 0.533 0.351 O
0.293 0.910 0.346 O
0.816 0.092 0.213 O
0.500 0.000 0.500 O
0.207 0.590 0.846 O
0.684 0.408 0.713 O
0.721 0.493 0.504 O
0.808 0.223 0.849 O
0.235 0.356 0.937 O
0.221 0.993 0.996 O
0.510 0.278 0.861 O
0.990 0.222 0.361 O
0.973 0.467 0.649 O
0.793 0.410 0.154 O
0.824 0.789 0.674 Si
0.681 0.003 0.543 Si
0.792 0.504 0.632 Si
0.186 0.838 0.662 Si
0.708 0.996 0.132 Si
0.676 0.711 0.174 Si
0.814 0.162 0.338 Si
0.686 0.338 0.838 Si
0.208 0.496 0.368 Si
0.314 0.662 0.162 Si
0.181 0.503 0.957 Si
0.319 0.997 0.457 Si
0.819 0.497 0.043 Si
0.176 0.211 0.326 Si
0.324 0.289 0.826 Si
0.292 0.004 0.868 Si
0.198 0.540 0.666 In
0.302 0.960 0.166 In
0.698 0.040 0.834 In
0.802 0.460 0.334 In

CaFe2As, relaxed, DFT PBE-GGA; spin magnetization = 5.11 μB per formula unit; space group = P2/m; calculated total energy = -5.78 eV per atom; DFT formation energy = 0.1187 eV/atom
1.0
-3.888 1.757 -0.556
-1.746 -3.370 1.562
0.232 1.852 4.236
As Fe Ca
1 2 1
direct
0.500 0.250 0.250 As
0.000 0.251 0.993 Fe
0.000 0.249 0.507 Fe
0.500 0.750 0.750 Ca

SrTi2Mn, relaxed, DFT PBE-GGA; E above lowest polymorph = 0.0049 eV per atom; spin magnetization = 0.00 μB per formula unit; space group = Fm-3m; calculated total energy = -5.81 eV per atom; DFT formation energy = 0.8533 eV/atom
1.0
0.000 3.335 3.335
3.335 0.000 3.335
3.335 3.335 0.000
Mn Sr Ti
1 1 2
direct
0.000 0.000 0.000 Mn
0.500 0.500 0.500 Sr
0.250 0.250 0.250 Ti
0.750 0.750 0.750 Ti